A crystal of SbTe2PI relaxed with PBEsol, computed with SCAN.

formation energy (no corrections)	4.60	eV/f.u.

a b c (Å): 5.708 5.708 5.762
angles (deg): 90.00 90.00 90.00
Space group P4/mmm (No. 123)
Inequivalent atoms, fractional coordinates:
1 Sb 0.000 0.000 0.000 (multiplicity 1)
2 Te 0.000 0.500 0.000 (multiplicity 2)
3 P 0.500 0.500 0.500 (multiplicity 1)
4 I 0.000 0.000 0.500 (multiplicity 1)

---

A crystal of KZnAg2 relaxed with PBEsol, computed with SCAN.

energy of formation	0.1234	eV/atom

a b c (Å): 2.885 4.097 7.301
angles (deg): 90.00 90.00 90.00
Space group Pmm2 (No. 25)
Inequivalent atoms, fractional coordinates:
1 K 0.000 0.000 0.000 (multiplicity 1)
2 Zn 0.500 0.500 0.327 (multiplicity 1)
3 Ag 0.000 0.000 0.486 (multiplicity 1)
4 Ag 0.500 0.500 0.684 (multiplicity 1)

---

A crystal of HfZn3S relaxed with PBEsol, computed with SCAN.

formation energy (no corrections)	3.39	eV/f.u.

a b c (Å): 4.526 4.526 4.526
angles (deg): 90.00 90.00 90.00
Space group Pm-3m (No. 221)
Inequivalent atoms, fractional coordinates:
1 Hf 0.000 0.000 0.000 (multiplicity 1)
2 Zn 0.000 0.500 0.500 (multiplicity 3)
3 S 0.500 0.500 0.500 (multiplicity 1)

---

A crystal of MnFeNi2Pt relaxed with PBEsol, computed with SCAN.

energy of formation	1.0307	eV/atom

a b c (Å): 4.163 4.163 3.969
angles (deg): 90.00 90.00 90.00
Space group P4/mmm (No. 123)
Inequivalent atoms, fractional coordinates:
1 Mn 0.000 0.000 0.000 (multiplicity 1)
2 Fe 0.000 0.000 0.500 (multiplicity 1)
3 Ni 0.000 0.500 0.500 (multiplicity 2)
4 Pt 0.500 0.500 0.000 (multiplicity 1)

---

A crystal of RhPbSe relaxed with PBEsol, computed with SCAN.

formation energy (no corrections)	-0.32	eV/f.u.

a b c (Å): 6.327 6.327 6.327
angles (deg): 90.00 90.00 90.00
Space group F-43m (No. 216)
Inequivalent atoms, fractional coordinates:
1 Rh 0.000 0.000 0.000 (multiplicity 4)
2 Pb 0.250 0.250 0.750 (multiplicity 4)
3 Se 0.250 0.250 0.250 (multiplicity 4)

---

A crystal of NiAs2W relaxed with PBEsol, computed with SCAN.

polymorph energy (0 for the lowest one)	419	meV per atom
energy of formation	0.6627	eV/atom

a b c (Å): 6.184 6.184 6.184
angles (deg): 90.00 90.00 90.00
Space group F-43m (No. 216)
Inequivalent atoms, fractional coordinates:
1 Ni 0.000 0.000 0.000 (multiplicity 4)
2 As 0.000 0.000 0.500 (multiplicity 4)
3 As 0.250 0.250 0.750 (multiplicity 4)
4 W 0.250 0.250 0.250 (multiplicity 4)

---

A crystal of SrTe2P relaxed with PBEsol, computed with SCAN.

formation energy (no corrections)	-3.03	eV/f.u.
polymorph energy (0 for the lowest one)	0	meV per atom

a b c (Å): 4.648 4.603 6.222
angles (deg): 90.00 110.86 90.00
Space group Pm (No. 6)
Inequivalent atoms, fractional coordinates:
1 Sr 0.000 0.000 0.000 (multiplicity 1)
2 Te 0.337 0.000 0.574 (multiplicity 1)
3 Te 0.572 0.500 0.135 (multiplicity 1)
4 P 0.203 0.500 0.719 (multiplicity 1)

---

A crystal of AlIn3 relaxed with PBEsol, computed with SCAN.

energy of formation	0.1915	eV/atom

a b c (Å): 5.089 5.089 3.636
angles (deg): 90.00 90.00 90.00
Space group P4/mmm (No. 123)
Inequivalent atoms, fractional coordinates:
1 Al 0.000 0.000 0.000 (multiplicity 1)
2 In 0.000 0.500 0.500 (multiplicity 2)
3 In 0.500 0.500 0.000 (multiplicity 1)

---

A crystal of LiLa2Br relaxed with PBEsol, computed with SCAN.

formation energy (no corrections)	-1.36	eV/f.u.
polymorph energy (0 for the lowest one)	319	meV per atom

a b c (Å): 4.371 4.371 10.876
angles (deg): 90.00 90.00 90.00
Space group I-4m2 (No. 119)
Inequivalent atoms, fractional coordinates:
1 Li 0.000 0.000 0.000 (multiplicity 2)
2 La 0.000 0.000 0.500 (multiplicity 2)
3 La 0.000 0.500 0.750 (multiplicity 2)
4 Br 0.000 0.500 0.250 (multiplicity 2)

---

A crystal of MgHg2Pb relaxed with PBEsol, computed with SCAN.

energy of formation	-0.1552	eV/atom

a b c (Å): 3.398 3.422 8.052
angles (deg): 90.00 90.49 90.00
Space group P2/m (No. 10)
Inequivalent atoms, fractional coordinates:
1 Mg 0.000 0.000 0.000 (multiplicity 1)
2 Hg 0.499 0.500 0.215 (multiplicity 2)
3 Pb 0.000 0.000 0.500 (multiplicity 1)

---

A crystal of CaSb2P relaxed with PBEsol, computed with SCAN.

formation energy (no corrections)	-0.44	eV/f.u.

a b c (Å): 3.982 3.982 6.003
angles (deg): 90.00 90.00 90.00
Space group P4/mmm (No. 123)
Inequivalent atoms, fractional coordinates:
1 Ca 0.000 0.000 0.000 (multiplicity 1)
2 Sb 0.500 0.500 0.269 (multiplicity 2)
3 P 0.000 0.000 0.500 (multiplicity 1)

---

A crystal of Cd3Ni relaxed with PBEsol, computed with SCAN.

energy of formation	0.0373	eV/atom

a b c (Å): 2.910 4.420 11.628
angles (deg): 90.00 90.00 90.00
Space group Immm (No. 71)
Inequivalent atoms, fractional coordinates:
1 Cd 0.000 0.000 0.000 (multiplicity 2)
2 Cd 0.000 0.500 0.189 (multiplicity 4)
3 Ni 0.000 0.000 0.500 (multiplicity 2)

---

A crystal of Y2Rh relaxed with PBEsol, computed with SCAN.

energy of formation	-0.6868	eV/atom

a b c (Å): 6.709 6.709 6.709
angles (deg): 90.00 90.00 90.00
Space group Fm-3m (No. 225)
Inequivalent atoms, fractional coordinates:
1 Y 0.250 0.250 0.250 (multiplicity 8)
2 Rh 0.000 0.000 0.000 (multiplicity 4)

---

A crystal of Sc3WAu relaxed with PBEsol, computed with SCAN.

energy of formation	0.7490	eV/atom

a b c (Å): 4.975 4.975 4.975
angles (deg): 90.00 90.00 90.00
Space group Pm-3m (No. 221)
Inequivalent atoms, fractional coordinates:
1 Sc 0.000 0.000 0.500 (multiplicity 3)
2 W 0.500 0.500 0.500 (multiplicity 1)
3 Au 0.000 0.000 0.000 (multiplicity 1)

---

A crystal of PrNiGe3 relaxed with PBEsol, computed with SCAN.

energy of formation	-0.6777	eV/atom

a b c (Å): 4.109 21.688 4.131
angles (deg): 90.00 90.00 90.00
Space group Cmmm (No. 65)
Inequivalent atoms, fractional coordinates:
1 Pr 0.000 0.169 0.000 (multiplicity 4)
2 Ni 0.000 0.391 0.500 (multiplicity 4)
3 Ge 0.000 0.057 0.500 (multiplicity 4)
4 Ge 0.000 0.284 0.500 (multiplicity 4)
5 Ge 0.000 0.443 0.000 (multiplicity 4)

---

A crystal of Y3CrRe relaxed with PBEsol, computed with SCAN.

energy of formation	0.4350	eV/atom

a b c (Å): 5.306 5.306 5.306
angles (deg): 90.00 90.00 90.00
Space group Pm-3m (No. 221)
Inequivalent atoms, fractional coordinates:
1 Y 0.000 0.000 0.500 (multiplicity 3)
2 Cr 0.500 0.500 0.500 (multiplicity 1)
3 Re 0.000 0.000 0.000 (multiplicity 1)

---

A crystal of K2CuC2O6 relaxed with PBEsol, computed with SCAN.

formation energy (no corrections)	-18.00	eV/f.u.

a b c (Å): 11.340 17.677 6.134
angles (deg): 90.00 90.00 90.00
Space group Fdd2 (No. 43)
Inequivalent atoms, fractional coordinates:
1 K 0.082 0.200 0.000 (multiplicity 16)
2 Cu 0.000 0.000 0.308 (multiplicity 8)
3 C 0.081 0.128 0.510 (multiplicity 16)
4 O 0.063 0.090 0.682 (multiplicity 16)
5 O 0.078 0.097 0.317 (multiplicity 16)
6 O 0.099 0.202 0.513 (multiplicity 16)

---

A crystal of YHS2 relaxed with PBEsol, computed with SCAN.

polymorph energy (0 for the lowest one)	0	meV per atom

a b c (Å): 4.0257 4.0257 18.1761
angles (deg): 90.00 90.00 120.00
Space group R-3m (No. 166, hexagonal axes)
Inequivalent atoms, fractional coordinates:
1 Y 0.0000 0.0000 0.0000 (multiplicity 3)
2 H 0.0000 0.0000 0.5000 (multiplicity 3)
3 S 0.0000 0.0000 0.4108 (multiplicity 6)

---

A crystal of LaSc2 relaxed with PBEsol, computed with SCAN.

polymorph energy (0 for the lowest one)	11	meV per atom
energy of formation	0.0779	eV/atom

a b c (Å): 3.379 3.379 14.163
angles (deg): 90.00 90.00 90.00
Space group I4/mmm (No. 139)
Inequivalent atoms, fractional coordinates:
1 La 0.000 0.000 0.000 (multiplicity 2)
2 Sc 0.000 0.000 0.326 (multiplicity 4)

---

A crystal of NaCdIrCl2 relaxed with PBEsol, computed with SCAN.

formation energy (no corrections)	0.07	eV/f.u.

a b c (Å): 4.667 4.667 5.692
angles (deg): 90.00 90.00 90.00
Space group P4/mmm (No. 123)
Inequivalent atoms, fractional coordinates:
1 Na 0.000 0.000 0.000 (multiplicity 1)
2 Cd 0.500 0.500 0.000 (multiplicity 1)
3 Ir 0.000 0.000 0.500 (multiplicity 1)
4 Cl 0.000 0.500 0.500 (multiplicity 2)

---

A crystal of CdGaAs2 relaxed with PBEsol, computed with SCAN.

energy of formation	0.3268	eV/atom

a b c (Å): 6.755 6.755 6.755
angles (deg): 90.00 90.00 90.00
Space group Fm-3m (No. 225)
Inequivalent atoms, fractional coordinates:
1 Cd 0.000 0.000 0.000 (multiplicity 4)
2 Ga 0.000 0.000 0.500 (multiplicity 4)
3 As 0.250 0.250 0.250 (multiplicity 8)

---

A crystal of K3YNb relaxed with PBEsol, computed with SCAN.

energy of formation	1.4456	eV/atom

a b c (Å): 6.464 6.464 6.464
angles (deg): 90.00 90.00 90.00
Space group Pm-3m (No. 221)
Inequivalent atoms, fractional coordinates:
1 K 0.000 0.000 0.500 (multiplicity 3)
2 Y 0.500 0.500 0.500 (multiplicity 1)
3 Nb 0.000 0.000 0.000 (multiplicity 1)

---

A crystal of ScIr3 relaxed with PBEsol, computed with SCAN.

energy of formation	-0.7289	eV/atom

a b c (Å): 3.896 3.896 3.896
angles (deg): 90.00 90.00 90.00
Space group Pm-3m (No. 221)
Inequivalent atoms, fractional coordinates:
1 Sc 0.000 0.000 0.000 (multiplicity 1)
2 Ir 0.000 0.500 0.500 (multiplicity 3)

---

A crystal of CaSe2Br relaxed with PBEsol, computed with SCAN.

formation energy (no corrections)	-4.40	eV/f.u.
polymorph energy (0 for the lowest one)	0	meV per atom

a b c (Å): 3.975 3.986 11.767
angles (deg): 90.00 90.00 90.00
Space group Immm (No. 71)
Inequivalent atoms, fractional coordinates:
1 Ca 0.000 0.000 0.000 (multiplicity 2)
2 Se 0.000 0.500 0.250 (multiplicity 4)
3 Br 0.000 0.000 0.500 (multiplicity 2)

---

A crystal of AsIrCl2 relaxed with PBEsol, computed with SCAN.

formation energy (no corrections)	4.52	eV/f.u.
polymorph energy (0 for the lowest one)	1730	meV per atom

a b c (Å): 5.832 7.814 2.896
angles (deg): 90.00 90.00 90.00
Space group Cmmm (No. 65)
Inequivalent atoms, fractional coordinates:
1 As 0.000 0.000 0.000 (multiplicity 2)
2 Ir 0.000 0.500 0.000 (multiplicity 2)
3 Cl 0.250 0.250 0.500 (multiplicity 4)

---

A crystal of CdTc2Ru relaxed with PBEsol, computed with SCAN.

energy of formation	0.4680	eV/atom

a b c (Å): 3.871 3.871 7.894
angles (deg): 90.00 90.00 90.00
Space group I-4m2 (No. 119)
Inequivalent atoms, fractional coordinates:
1 Cd 0.000 0.000 0.000 (multiplicity 2)
2 Tc 0.000 0.000 0.500 (multiplicity 2)
3 Tc 0.000 0.500 0.750 (multiplicity 2)
4 Ru 0.000 0.500 0.250 (multiplicity 2)

---

A crystal of ReGeAs2Br relaxed with PBEsol, computed with SCAN.

formation energy (no corrections)	7.89	eV/f.u.

a b c (Å): 4.877 4.877 4.862
angles (deg): 90.00 90.00 90.00
Space group P4/mmm (No. 123)
Inequivalent atoms, fractional coordinates:
1 Re 0.000 0.000 0.000 (multiplicity 1)
2 Ge 0.500 0.500 0.500 (multiplicity 1)
3 As 0.000 0.500 0.500 (multiplicity 2)
4 Br 0.500 0.500 0.000 (multiplicity 1)

---

A crystal of ScNbSi2 relaxed with PBEsol, computed with SCAN.

formation energy (no corrections)	-0.88	eV/f.u.

a b c (Å): 6.997 6.997 5.657
angles (deg): 90.00 90.00 90.00
Space group I-42d (No. 122)
Inequivalent atoms, fractional coordinates:
1 Sc 0.000 0.000 0.000 (multiplicity 4)
2 Nb 0.000 0.000 0.500 (multiplicity 4)
3 Si 0.241 0.750 0.625 (multiplicity 8)

---

A crystal of CrInRe2 relaxed with PBEsol, computed with SCAN.

energy of formation	0.4243	eV/atom

a b c (Å): 3.776 3.776 8.453
angles (deg): 90.00 90.00 90.00
Space group I4/mmm (No. 139)
Inequivalent atoms, fractional coordinates:
1 Cr 0.000 0.000 0.000 (multiplicity 2)
2 In 0.000 0.000 0.500 (multiplicity 2)
3 Re 0.000 0.500 0.250 (multiplicity 4)